Density functional theory data (PBE) for a relaxed structure of ZrNiIr2.

The calculation puts the formation energy at -0.45 eV per atom.

abc: 4.8040 4.8040 4.8040
angles: 131.24 131.24 71.44
Atoms (fractional coordinates):
Zr (0.0000, 0.0000, 0.0000)
Ni (0.5000, 0.5000, 0.0000)
Ir (0.2500, 0.7500, 0.5000)
Ir (0.7500, 0.2500, 0.5000)